[1]
# Tm2TcIr PBE relaxed
data_Tm2TcIr
_cell_length_a 4.7999
_cell_length_b 4.7999
_cell_length_c 3.3473
_cell_angle_alpha 90.00
_cell_angle_beta 90.00
_cell_angle_gamma 90.00
_space_group_name_H-M_alt 'P 4/m m m'
_space_group_IT_number 123
_space_group_name_Hall '-P 4 2'
loop_
_atom_site_label
_atom_site_fract_x
_atom_site_fract_y
_atom_site_fract_z
Tm1 0.0000 0.5000 0.0000
Tc1 0.0000 0.0000 0.5000
Ir1 0.5000 0.5000 0.5000
# **Total magnetization**: 0.003 μB per cell
# **Electronic total energy**: -29.8 eV for the cell shown
# **Density**: 13.524 Mg/m³
# **Energy of formation**: -413 meV per atom



[2]
# TmUTcIr PBE relaxed
data_TmUTcIr
_cell_length_a 6.7847
_cell_length_b 6.7847
_cell_length_c 6.7847
_cell_angle_alpha 90.00
_cell_angle_beta 90.00
_cell_angle_gamma 90.00
_space_group_name_H-M_alt 'F -4 3 m'
_space_group_IT_number 216
_space_group_name_Hall 'F -4 2 3'
loop_
_atom_site_label
_atom_site_fract_x
_atom_site_fract_y
_atom_site_fract_z
Tm1 0.0000 0.0000 0.0000
U1 0.0000 0.0000 0.5000
Tc1 0.2500 0.2500 0.7500
Ir1 0.2500 0.2500 0.2500
# **Total magnetization**: 6.631 μB per cell
# **Electronic total energy**: -145.2 eV for the cell shown
# **Density**: 14.827 Mg/m³
# **Energy of formation**: -325 meV per atom



[3]
# UTcIr2 PBE relaxed
data_UTcIr2
_cell_length_a 4.5635
_cell_length_b 4.5635
_cell_length_c 11.6320
_cell_angle_alpha 90.00
_cell_angle_beta 90.00
_cell_angle_gamma 120.00
_space_group_name_H-M_alt 'R -3 m'
_space_group_IT_number 166
_space_group_name_Hall '-R 3 2"'
loop_
_atom_site_label
_atom_site_fract_x
_atom_site_fract_y
_atom_site_fract_z
U1 0.0000 0.0000 0.0000
Tc1 0.0000 0.0000 0.5000
Ir1 0.0000 0.0000 0.2722
# **Total magnetization**: 0.001 μB per cell
# **Electronic total energy**: -118.0 eV for the cell shown
# **Offset from the most stable computed form**: 556 meV/atom
# **Density**: 17.108 Mg/m³
# **Energy of formation**: 9 meV per atom



[4]
# U2TcIr PBE relaxed
data_U2TcIr
_cell_length_a 4.2842
_cell_length_b 4.2842
_cell_length_c 4.0242
_cell_angle_alpha 90.00
_cell_angle_beta 90.00
_cell_angle_gamma 90.00
_space_group_name_H-M_alt 'P 4/m m m'
_space_group_IT_number 123
_space_group_name_Hall '-P 4 2'
loop_
_atom_site_label
_atom_site_fract_x
_atom_site_fract_y
_atom_site_fract_z
U1 0.0000 0.5000 0.0000
Tc1 0.0000 0.0000 0.5000
Ir1 0.5000 0.5000 0.5000
# **Total magnetization**: 0.232 μB per cell
# **Electronic total energy**: -42.4 eV for the cell shown
# **Density**: 17.227 Mg/m³
# **Energy of formation**: -145 meV per atom



[5]
# U2TcIr PBE relaxed
data_U2TcIr
_cell_length_a 3.9047
_cell_length_b 3.9047
_cell_length_c 19.0915
_cell_angle_alpha 90.00
_cell_angle_beta 90.00
_cell_angle_gamma 120.00
_space_group_name_H-M_alt 'R -3 m'
_space_group_IT_number 166
_space_group_name_Hall '-R 3 2"'
loop_
_atom_site_label
_atom_site_fract_x
_atom_site_fract_y
_atom_site_fract_z
U1 0.0000 0.0000 0.2478
Tc1 0.0000 0.0000 0.5000
Ir1 0.0000 0.0000 0.0000
# **Total magnetization**: 3.369 μB per cell
# **Electronic total energy**: -126.2 eV for the cell shown
# **Density**: 15.143 Mg/m³
# **Energy of formation**: -65 meV per atom



[6]
# UTcIr2 PBE relaxed
data_UTcIr2
_cell_length_a 4.0015
_cell_length_b 4.0015
_cell_length_c 4.1115
_cell_angle_alpha 90.00
_cell_angle_beta 90.00
_cell_angle_gamma 90.00
_space_group_name_H-M_alt 'P 4/m m m'
_space_group_IT_number 123
_space_group_name_Hall '-P 4 2'
loop_
_atom_site_label
_atom_site_fract_x
_atom_site_fract_y
_atom_site_fract_z
U1 0.0000 0.0000 0.0000
Tc1 0.5000 0.5000 0.0000
Ir1 0.0000 0.5000 0.5000
# **Total magnetization**: 0.000 μB per cell
# **Electronic total energy**: -41.6 eV for the cell shown
# **Offset from the most stable computed form**: 0 meV/atom
# **Density**: 18.173 Mg/m³
# **Energy of formation**: -547 meV per atom



Repeat the second record exactly.
# TmUTcIr PBE relaxed
data_TmUTcIr
_cell_length_a 6.7847
_cell_length_b 6.7847
_cell_length_c 6.7847
_cell_angle_alpha 90.00
_cell_angle_beta 90.00
_cell_angle_gamma 90.00
_space_group_name_H-M_alt 'F -4 3 m'
_space_group_IT_number 216
_space_group_name_Hall 'F -4 2 3'
loop_
_atom_site_label
_atom_site_fract_x
_atom_site_fract_y
_atom_site_fract_z
Tm1 0.0000 0.0000 0.0000
U1 0.0000 0.0000 0.5000
Tc1 0.2500 0.2500 0.7500
Ir1 0.2500 0.2500 0.2500
# **Total magnetization**: 6.631 μB per cell
# **Electronic total energy**: -145.2 eV for the cell shown
# **Density**: 14.827 Mg/m³
# **Energy of formation**: -325 meV per atom



Copy entry 2 word for word.
# TmUTcIr PBE relaxed
data_TmUTcIr
_cell_length_a 6.7847
_cell_length_b 6.7847
_cell_length_c 6.7847
_cell_angle_alpha 90.00
_cell_angle_beta 90.00
_cell_angle_gamma 90.00
_space_group_name_H-M_alt 'F -4 3 m'
_space_group_IT_number 216
_space_group_name_Hall 'F -4 2 3'
loop_
_atom_site_label
_atom_site_fract_x
_atom_site_fract_y
_atom_site_fract_z
Tm1 0.0000 0.0000 0.0000
U1 0.0000 0.0000 0.5000
Tc1 0.2500 0.2500 0.7500
Ir1 0.2500 0.2500 0.2500
# **Total magnetization**: 6.631 μB per cell
# **Electronic total energy**: -145.2 eV for the cell shown
# **Density**: 14.827 Mg/m³
# **Energy of formation**: -325 meV per atom



What did the sixth record say?
# UTcIr2 PBE relaxed
data_UTcIr2
_cell_length_a 4.0015
_cell_length_b 4.0015
_cell_length_c 4.1115
_cell_angle_alpha 90.00
_cell_angle_beta 90.00
_cell_angle_gamma 90.00
_space_group_name_H-M_alt 'P 4/m m m'
_space_group_IT_number 123
_space_group_name_Hall '-P 4 2'
loop_
_atom_site_label
_atom_site_fract_x
_atom_site_fract_y
_atom_site_fract_z
U1 0.0000 0.0000 0.0000
Tc1 0.5000 0.5000 0.0000
Ir1 0.0000 0.5000 0.5000
# **Total magnetization**: 0.000 μB per cell
# **Electronic total energy**: -41.6 eV for the cell shown
# **Offset from the most stable computed form**: 0 meV/atom
# **Density**: 18.173 Mg/m³
# **Energy of formation**: -547 meV per atom